(1)
Compound: MgCo2Sb
Source: the Alexandria database
Functional: GGA-PBE
Structure: relaxed

Geometry as POSCAR:
```
MgCo2Sb
1.0
3.0854 0.0000 0.0000
-1.5427 2.6721 0.0000
0.0000 0.0000 23.5770
Mg Co Sb
3 6 3
Direct
0.0000 0.0000 0.0000
0.3333 0.6667 0.6667
0.6667 0.3333 0.3333
0.0000 0.0000 0.2452
0.0000 0.0000 0.7548
0.3333 0.6667 0.4214
0.3333 0.6667 0.9119
0.6667 0.3333 0.0881
0.6667 0.3333 0.5786
0.0000 0.0000 0.5000
0.3333 0.6667 0.1667
0.6667 0.3333 0.8333
```

## Properties
E_form (uncorrected) in meV/atom: 328
Space-group type: R-3m (166)

(2)
Compound: RbPmSeO5
Source: the Alexandria database
Functional: GGA-PBE
Structure: relaxed

Geometry as POSCAR:
```
RbPmSeO5
1.0
3.9328 -5.1820 0.0000
3.9328 5.1820 0.0000
-3.6760 0.0000 7.3615
Rb Pm Se O
2 2 2 10
Direct
0.1704 0.8296 0.7500
0.8296 0.1704 0.2500
0.5000 0.5000 0.0000
0.5000 0.5000 0.5000
0.1859 0.8141 0.2500
0.8141 0.1859 0.7500
0.0807 0.2609 0.8978
0.1947 0.6375 0.3659
0.2609 0.0807 0.3978
0.3625 0.8053 0.1341
0.4250 0.5750 0.7500
0.5750 0.4250 0.2500
0.6375 0.1947 0.8659
0.7391 0.9193 0.6022
0.8053 0.3625 0.6341
0.9193 0.7391 0.1022
```

## Properties
E_form (uncorrected) in meV/atom: -1765
Space-group type: C2/c (15)